The following is a DFT calculation (GGA-PBEsol) of an optimized crystal structure of ScMnCu2.

Values from the calculation:
The calculated volume is 14.22 Å³/atom. The formation energy comes out at 315 meV/atom. The calculation puts the density at 6.625 g/cm³. Its space group is R3m, No. 160.

Cell: 8.5018 8.5018 8.5018 Å, 18.99 18.99 18.99°
With the nearest neighbours (Å) after each atom.
Atoms (fractional coordinates):
Sc 0.0000 0.0000 0.0000  3 Mn 2.75, 3 Cu 2.77, 6 Sc 2.81
Mn 0.7555 0.7555 0.7555  3 Cu 2.55, 3 Sc 2.75, 6 Mn 2.81
Cu 0.2434 0.2434 0.2434  3 Cu 2.50, 3 Sc 2.77
Cu 0.5008 0.5008 0.5008  3 Cu 2.50, 3 Mn 2.55

The following is a DFT calculation (GGA-PBEsol) of an optimized crystal structure of Zn2AgPt.

Values from the calculation:
The calculated volume is 14.53 Å³/atom. The formation energy comes out at -309 meV/atom. The calculation puts the density at 12.395 g/cm³. Its space group is Pmmm, No. 47.

Cell: 2.8195 3.6080 5.7125 Å, 90.00 90.00 90.00°
With the nearest neighbours (Å) after each atom.
Atoms (fractional coordinates):
Zn 0.0000 0.0000 0.2374  4 Pt 2.66, 3 Zn 2.71-2.82, 4 Ag 2.74
Zn 0.0000 0.0000 0.7626  4 Pt 2.66, 3 Zn 2.71-2.82, 4 Ag 2.74
Ag 0.5000 0.5000 0.5000  8 Zn 2.74, 2 Ag 2.82, 2 Pt 2.86
Pt 0.5000 0.5000 0.0000  8 Zn 2.66, 2 Pt 2.82, 2 Ag 2.86

The following is a DFT calculation (GGA-PBEsol) of an optimized crystal structure of BaMnBe2.

Values from the calculation:
Its energy relative to the lowest polymorph listed for this composition is 0 meV per atom. The calculated volume is 19.75 Å³/atom. The formation energy comes out at 999 meV/atom. The calculation puts the density at 4.421 g/cm³. Its space group is Fm-3m, No. 225.

Cell: 4.8161 4.8161 4.8161 Å, 60.00 60.00 60.00°
With the nearest neighbours (Å) after each atom.
Atoms (fractional coordinates):
Ba 0.0000 0.0000 0.0000  8 Be 2.95
Mn 0.5000 0.5000 0.5000  8 Be 2.95
Be 0.2500 0.2500 0.2500  4 Ba 2.95, 4 Mn 2.95
Be 0.7500 0.7500 0.7500  4 Ba 2.95, 4 Mn 2.95

The following is a DFT calculation (GGA-PBEsol) of an optimized crystal structure of CdBi8Br10O8.

Values from the calculation:
The calculated volume is 22.02 Å³/atom. The calculation puts the density at 7.573 g/cm³. Its space group is Cmmm, No. 65. The calculated total energy comes out at -0.171 hartree per atom.

Cell: 19.7423 19.7423 5.5147 Å, 90.00 90.00 163.94°
With the nearest neighbours (Å) after each atom.
Atoms (fractional coordinates):
Cd 0.0000 0.0000 0.0000  6 Br 2.76-2.84
Bi 0.1119 0.8881 0.5000  4 O 2.32
Bi 0.1766 0.8234 0.0000  4 O 2.32
Bi 0.3240 0.6760 0.5000  4 O 2.32
Bi 0.3881 0.6119 0.0000  4 O 2.32
Bi 0.6119 0.3881 0.0000  4 O 2.32
Bi 0.6760 0.3240 0.5000  4 O 2.32
Bi 0.8234 0.1766 0.0000  4 O 2.32
Bi 0.8881 0.1119 0.5000  4 O 2.32
Br 0.0000 0.0000 0.5000  2 Cd 2.76
Br 0.0726 0.9274 0.0000  1 Cd 2.84, 4 Bi 3.16
Br 0.2157 0.7843 0.5000  4 Bi 3.15-3.17, 4 O 3.41
Br 0.2843 0.7157 0.0000  4 Bi 3.15-3.17, 4 O 3.41
Br 0.4267 0.5733 0.5000  4 Bi 3.14, 4 O 3.39
Br 0.5000 0.5000 0.0000  2 Cd 2.76
Br 0.5733 0.4267 0.5000  4 Bi 3.14, 4 O 3.39
Br 0.7157 0.2843 0.0000  4 Bi 3.15-3.17, 4 O 3.41
Br 0.7843 0.2157 0.5000  4 Bi 3.15-3.17, 4 O 3.41
Br 0.9274 0.0726 0.0000  1 Cd 2.84, 4 Bi 3.16
O 0.1047 0.3929 0.2487  4 Bi 2.32
O 0.1047 0.3929 0.7513  4 Bi 2.32
O 0.3929 0.1047 0.2487  4 Bi 2.32
O 0.3929 0.1047 0.7513  4 Bi 2.32
O 0.6071 0.8953 0.2487  4 Bi 2.32
O 0.6071 0.8953 0.7513  4 Bi 2.32
O 0.8953 0.6071 0.2487  4 Bi 2.32
O 0.8953 0.6071 0.7513  4 Bi 2.32

The following is a DFT calculation (GGA-PBEsol) of an optimized crystal structure of K5Ba.

Values from the calculation:
Its energy relative to the lowest polymorph listed for this composition is 22 meV per atom. The calculated volume is 68.57 Å³/atom. The formation energy comes out at 88 meV/atom. The calculation puts the density at 1.343 g/cm³. Its space group is P-62m, No. 189.

Cell: 7.9590 7.9590 7.4996 Å, 90.00 90.00 120.00°
With the nearest neighbours (Å) after each atom.
Atoms (fractional coordinates):
K 0.0000 0.6614 0.0000  10 K 4.56-4.67, 2 Ba 4.62
K 0.3333 0.6667 0.5000  9 K 4.58-4.60, 3 Ba 4.60
K 0.3386 0.3386 0.0000  10 K 4.56-4.67, 2 Ba 4.62
K 0.6614 0.0000 0.0000  10 K 4.56-4.67, 2 Ba 4.62
K 0.6667 0.3333 0.5000  9 K 4.58-4.60, 3 Ba 4.60
Ba 0.0000 0.0000 0.5000  12 K 4.60-4.62

The following is a DFT calculation (GGA-PBEsol) of an optimized crystal structure of Rb3TlTc.

Values from the calculation:
Its energy relative to the lowest polymorph listed for this composition is 0 meV per atom. The calculated volume is 50.69 Å³/atom. The formation energy comes out at 1326 meV/atom. The calculation puts the density at 3.661 g/cm³. Its space group is Pm-3m, No. 221.

Cell: 6.3283 6.3283 6.3283 Å, 90.00 90.00 90.00°
With the nearest neighbours (Å) after each atom.
Atoms (fractional coordinates):
Rb 0.0000 0.0000 0.5000  2 Tc 3.16
Rb 0.0000 0.5000 0.0000  2 Tc 3.16
Rb 0.5000 0.0000 0.0000  2 Tc 3.16
Tl 0.5000 0.5000 0.5000  12 Rb 4.47
Tc 0.0000 0.0000 0.0000  6 Rb 3.16